Computed, not measured: BeMoF2 after structural relaxation at the PBE with a Hubbard U level of DFT.

a = 4.020 Å, b = 4.020 Å, c = 4.020 Å
α = 60.00°, β = 60.00°, γ = 60.00°
Fractional coordinates of all 4 atoms:
Be1 0.000 0.000 0.000
Mo1 0.500 0.500 0.500
F1 0.250 0.250 0.250
F2 0.750 0.750 0.750

Output
Its crystal system is cubic. Its space-group type is Fm-3m (225). The energy above the lowest structure with this stoichiometry comes out at 4.58 eV per formula unit. Its density of states at the Fermi level is 2.3 states/eV/cell.

---

Computed, not measured: Be2MoF after structural relaxation at the PBE with a Hubbard U level of DFT.

a = 2.672 Å, b = 4.349 Å, c = 7.872 Å
α = 90.00°, β = 94.27°, γ = 90.00°
Fractional coordinates of all 8 atoms:
Be1 0.028 0.000 0.200
Be2 0.036 0.955 0.633
Be3 0.964 0.455 0.367
Be4 0.972 0.500 0.800
Mo1 0.410 0.515 0.093
Mo2 0.590 0.015 0.907
F1 0.047 0.109 0.448
F2 0.953 0.609 0.552

Output
Its crystal system is monoclinic. Its space-group type is P2_1 (4). The energy above the lowest structure with this stoichiometry comes out at 0.36 eV per formula unit. Its density of states at the Fermi level is 1.8 states/eV/cell.

---

Computed, not measured: Be2MoF after structural relaxation at the PBE with a Hubbard U level of DFT.

a = 2.648 Å, b = 4.177 Å, c = 8.861 Å
α = 94.19°, β = 94.72°, γ = 90.18°
Fractional coordinates of all 8 atoms:
Be1 0.000 0.000 0.000
Be2 0.002 0.450 0.649
Be3 0.029 0.882 0.443
Be4 0.953 0.525 0.147
Mo1 0.407 0.488 0.912
Mo2 0.578 0.956 0.732
F1 0.516 0.049 0.390
F2 0.993 0.573 0.318

Output
Its crystal system is triclinic. Its space-group type is P1 (1). The energy above the lowest structure with this stoichiometry comes out at 0.15 eV per formula unit. Its density of states at the Fermi level is 1.3 states/eV/cell.

---

Computed, not measured: BeMo3F after structural relaxation at the PBE with a Hubbard U level of DFT.

a = 4.179 Å, b = 4.179 Å, c = 4.179 Å
α = 90.00°, β = 90.00°, γ = 90.00°
Fractional coordinates of all 5 atoms:
Be1 0.000 0.000 0.000
Mo1 0.000 0.500 0.500
Mo2 0.500 0.000 0.500
Mo3 0.500 0.500 0.000
F1 0.500 0.500 0.500

Output
For the total DFT energy (no corrections), the calculation gives -4.04 eV/atom. Its crystal system is cubic. Its space-group type is Pm-3m (221). Its density of states at the Fermi level is 2.6 states/eV/cell.

---

Computed, not measured: Be2MoF after structural relaxation at the PBE with a Hubbard U level of DFT.

a = 2.659 Å, b = 4.253 Å, c = 8.715 Å
α = 102.79°, β = 94.85°, γ = 90.01°
Fractional coordinates of all 8 atoms:
Be1 0.000 0.000 0.000
Be2 0.109 0.509 0.162
Be3 0.675 0.777 0.477
Be4 0.828 0.340 0.617
Mo1 0.255 0.889 0.720
Mo2 0.533 0.463 0.887
F1 0.073 0.161 0.190
F2 0.616 0.672 0.286

Output
Its crystal system is triclinic. Its space-group type is P1 (1). The energy above the lowest structure with this stoichiometry comes out at 0.24 eV per formula unit. Its density of states at the Fermi level is 1.5 states/eV/cell.

---

Computed, not measured: BeMo2F after structural relaxation at the PBE with a Hubbard U level of DFT.

a = 8.602 Å, b = 8.602 Å, c = 8.602 Å
α = 154.58°, β = 154.58°, γ = 36.25°
Fractional coordinates of all 8 atoms:
Be1 0.000 0.000 0.000
Be2 0.750 0.250 0.500
Mo1 0.115 0.625 0.990
Mo2 0.375 0.365 0.490
Mo3 0.635 0.125 0.010
Mo4 0.875 0.885 0.510
F1 0.250 0.750 0.500
F2 0.500 0.500 0.000

Output
Its crystal system is tetragonal. Its space-group type is I-42d (122). The energy above the lowest structure with this stoichiometry comes out at 0.65 eV per formula unit. Its density of states at the Fermi level is 4.0 states/eV/cell.

---

Computed, not measured: BeMo2F after structural relaxation at the PBE with a Hubbard U level of DFT.

a = 4.134 Å, b = 4.134 Å, c = 4.134 Å
α = 60.00°, β = 60.00°, γ = 60.00°
Fractional coordinates of all 4 atoms:
Be1 0.000 0.000 0.000
Mo1 0.250 0.250 0.250
Mo2 0.750 0.750 0.750
F1 0.500 0.500 0.500

Output
Its crystal system is cubic. Its space-group type is Fm-3m (225). The energy above the lowest structure with this stoichiometry comes out at 0.00 eV per formula unit. Its density of states at the Fermi level is 3.0 states/eV/cell.

---

Computed, not measured: BeMoF2 after structural relaxation at the PBE with a Hubbard U level of DFT.

a = 10.053 Å, b = 10.053 Å, c = 10.053 Å
α = 15.11°, β = 15.11°, γ = 15.11°
Fractional coordinates of all 4 atoms:
Be1 0.000 0.000 0.000
Mo1 0.500 0.500 0.500
F1 0.363 0.363 0.363
F2 0.637 0.637 0.637

Output
Its crystal system is trigonal. Its space-group type is R-3m (166). The energy above the lowest structure with this stoichiometry comes out at 0.00 eV per formula unit. Its density of states at the Fermi level is 0.4 states/eV/cell.

---

Computed, not measured: Be2MoF after structural relaxation at the PBE with a Hubbard U level of DFT.

a = 2.578 Å, b = 4.168 Å, c = 10.250 Å
α = 90.00°, β = 93.91°, γ = 90.00°
Fractional coordinates of all 8 atoms:
Be1 0.103 0.250 0.151
Be2 0.196 0.750 0.303
Be3 0.804 0.250 0.697
Be4 0.897 0.750 0.849
Mo1 0.385 0.250 0.921
Mo2 0.615 0.750 0.079
F1 0.279 0.250 0.608
F2 0.721 0.750 0.392

Output
Its crystal system is monoclinic. Its space-group type is P2_1/m (11). The energy above the lowest structure with this stoichiometry comes out at 0.00 eV per formula unit. Its density of states at the Fermi level is 2.9 states/eV/cell.

---

Computed, not measured: BeMoNF2 after structural relaxation at the PBE with a Hubbard U level of DFT.

a = 3.139 Å, b = 3.139 Å, c = 6.055 Å
α = 90.00°, β = 90.00°, γ = 90.00°
Fractional coordinates of all 5 atoms:
Be1 0.000 0.000 0.000
Mo1 0.500 0.500 0.500
N1 0.000 0.000 0.500
F1 0.000 0.500 0.000
F2 0.500 0.000 0.000

Output
Its crystal system is tetragonal. Its space-group type is P4/mmm (123). The energy above the lowest structure with this stoichiometry comes out at 0.00 eV per formula unit. Its density of states at the Fermi level is 1.1 states/eV/cell.

---

Computed, not measured: BeMoNF2 after structural relaxation at the PBE with a Hubbard U level of DFT.

a = 4.188 Å, b = 4.188 Å, c = 4.036 Å
α = 90.00°, β = 90.00°, γ = 90.00°
Fractional coordinates of all 5 atoms:
Be1 0.000 0.000 0.000
Mo1 0.500 0.500 0.500
N1 0.500 0.500 0.000
F1 0.000 0.500 0.500
F2 0.500 0.000 0.500

Output
Its crystal system is tetragonal. Its space-group type is P4/mmm (123). The energy above the lowest structure with this stoichiometry comes out at 4.69 eV per formula unit. Its density of states at the Fermi level is 1.0 states/eV/cell.

---

Computed, not measured: Na2BeMoF6 after structural relaxation at the PBE with a Hubbard U level of DFT.

a = 5.304 Å, b = 5.323 Å, c = 5.327 Å
α = 63.77°, β = 63.76°, γ = 63.80°
Fractional coordinates of all 10 atoms:
Na1 0.243 0.242 0.241
Na2 0.757 0.758 0.759
Be1 0.000 0.000 0.000
Mo1 0.500 0.500 0.500
F1 0.132 0.799 0.314
F2 0.204 0.687 0.867
F3 0.311 0.133 0.801
F4 0.689 0.867 0.199
F5 0.796 0.313 0.133
F6 0.868 0.201 0.686

Output
For the total DFT energy (no corrections), the calculation gives -4.96 eV/atom. Its crystal system is triclinic. Its space-group type is P-1 (2).

---

Computed, not measured: BeMoO2F after structural relaxation at the PBE with a Hubbard U level of DFT.

a = 4.018 Å, b = 4.018 Å, c = 4.154 Å
α = 90.00°, β = 90.00°, γ = 90.00°
Fractional coordinates of all 5 atoms:
Be1 0.000 0.000 0.000
Mo1 0.500 0.500 0.500
O1 0.000 0.500 0.500
O2 0.500 0.000 0.500
F1 0.500 0.500 0.000

Output
For the total DFT energy (no corrections), the calculation gives -5.36 eV/atom. Its crystal system is tetragonal. Its space-group type is P4/mmm (123). Its density of states at the Fermi level is 1.1 states/eV/cell.

---

Computed, not measured: BeMoOF2 after structural relaxation at the PBE with a Hubbard U level of DFT.

a = 4.226 Å, b = 4.226 Å, c = 4.095 Å
α = 90.00°, β = 90.00°, γ = 90.00°
Fractional coordinates of all 5 atoms:
Be1 0.000 0.000 0.000
Mo1 0.500 0.500 0.500
O1 0.500 0.500 0.000
F1 0.000 0.500 0.500
F2 0.500 0.000 0.500

Output
Its crystal system is tetragonal. Its space-group type is P4/mmm (123). The energy above the lowest structure with this stoichiometry comes out at 4.48 eV per formula unit. Its density of states at the Fermi level is 2.0 states/eV/cell.

---

Computed, not measured: BeMoOF2 after structural relaxation at the PBE with a Hubbard U level of DFT.

a = 3.274 Å, b = 3.274 Å, c = 5.132 Å
α = 90.00°, β = 90.00°, γ = 90.00°
Fractional coordinates of all 5 atoms:
Be1 0.000 0.000 0.000
Mo1 0.500 0.500 0.500
O1 0.000 0.000 0.500
F1 0.000 0.500 0.000
F2 0.500 0.000 0.000

Output
Its crystal system is tetragonal. Its space-group type is P4/mmm (123). The energy above the lowest structure with this stoichiometry comes out at 0.00 eV per formula unit. Its density of states at the Fermi level is 0.0 states/eV/cell.

---

Computed, not measured: BeMoO2F after structural relaxation at the PBE with a Hubbard U level of DFT.

a = 3.682 Å, b = 3.682 Å, c = 3.300 Å
α = 90.00°, β = 90.00°, γ = 90.00°
Fractional coordinates of all 5 atoms:
Be1 0.000 0.000 0.000
Mo1 0.500 0.500 0.500
O1 0.000 0.500 0.000
O2 0.500 0.000 0.000
F1 0.000 0.000 0.500

Output
For the total DFT energy (no corrections), the calculation gives -6.10 eV/atom. Its crystal system is tetragonal. Its space-group type is P4/mmm (123). Its density of states at the Fermi level is 0.3 states/eV/cell.

---

Computed, not measured: Be2MoOsF after structural relaxation at the PBE with a Hubbard U level of DFT.

a = 4.542 Å, b = 4.542 Å, c = 4.779 Å
α = 90.00°, β = 90.00°, γ = 90.00°
Fractional coordinates of all 5 atoms:
Be1 0.000 0.500 0.000
Be2 0.500 0.000 0.000
Mo1 0.000 0.000 0.000
Os1 0.000 0.000 0.500
F1 0.500 0.500 0.500

Output
For the total DFT energy (no corrections), the calculation gives -3.70 eV/atom. Its crystal system is tetragonal. Its space-group type is P4/mmm (123). Its density of states at the Fermi level is 3.3 states/eV/cell.

---

Computed, not measured: Rb2BeMoF6 after structural relaxation at the PBE with a Hubbard U level of DFT.

a = 5.943 Å, b = 5.943 Å, c = 5.943 Å
α = 122.56°, β = 122.56°, γ = 85.62°
Fractional coordinates of all 10 atoms:
Rb1 0.250 0.750 0.500
Rb2 0.750 0.250 0.500
Be1 0.000 0.000 0.000
Mo1 0.500 0.500 0.000
F1 0.213 0.213 0.426
F2 0.213 0.787 0.000
F3 0.252 0.252 0.000
F4 0.748 0.748 0.000
F5 0.787 0.213 0.000
F6 0.787 0.787 0.574

Output
For the total DFT energy (no corrections), the calculation gives -4.89 eV/atom. Its crystal system is tetragonal. Its space-group type is I4/mmm (139). Its density of states at the Fermi level is 0.0 states/eV/cell.

---

Computed, not measured: RbBe2MoF8 after structural relaxation at the PBE with a Hubbard U level of DFT.

a = 8.695 Å, b = 8.695 Å, c = 8.695 Å
α = 33.53°, β = 33.53°, γ = 33.53°
Fractional coordinates of all 12 atoms:
Rb1 0.000 0.000 0.000
Be1 0.242 0.242 0.242
Be2 0.758 0.758 0.758
Mo1 0.500 0.500 0.500
F1 0.089 0.501 0.756
F2 0.244 0.911 0.499
F3 0.302 0.302 0.302
F4 0.499 0.244 0.911
F5 0.501 0.756 0.089
F6 0.698 0.698 0.698
F7 0.756 0.089 0.501
F8 0.911 0.499 0.244

Output
For the total DFT energy (no corrections), the calculation gives -5.54 eV/atom. Its crystal system is trigonal. Its space-group type is R-3 (148). Its density of states at the Fermi level is 0.0 states/eV/cell.

---

Computed, not measured: RbBeMoF6 after structural relaxation at the PBE with a Hubbard U level of DFT.

a = 5.227 Å, b = 5.227 Å, c = 6.125 Å
α = 90.04°, β = 90.04°, γ = 119.81°
Fractional coordinates of all 9 atoms:
Rb1 0.000 0.000 0.000
Be1 0.667 0.333 0.500
Mo1 0.333 0.667 0.500
F1 0.392 0.348 0.333
F2 0.393 0.043 0.669
F3 0.652 0.043 0.333
F4 0.652 0.608 0.667
F5 0.957 0.348 0.667
F6 0.957 0.607 0.331

Output
For the total DFT energy (no corrections), the calculation gives -5.33 eV/atom. Its crystal system is monoclinic. Its space-group type is C2 (5). Its density of states at the Fermi level is 0.0 states/eV/cell.